Entry 1
Na2HgB | Alexandria via LeMat-Bulk | GGA-PBE | relaxed; density = 5.1 g/cm3; magnetic moment = 0.0 μB per formula unit
1.0
1.360 2.789 3.795
-0.702 4.849 -0.146
-3.398 2.072 2.861
Na B Hg
2 1 1
direct
0.250 0.250 0.250
0.750 0.750 0.750
0.000 0.000 0.000
0.500 0.500 0.500


Entry 2
Na2HgB | Alexandria via LeMat-Bulk | GGA-PBE | relaxed; density = 3.5 g/cm3; magnetic moment = 0.0 μB per formula unit
1.0
10.891 0.000 0.000
0.000 10.891 0.000
5.445 5.445 2.084
Na B Hg
4 2 2
direct
0.382 0.125 0.250
0.368 0.625 0.250
0.375 0.618 0.750
0.875 0.632 0.750
0.500 0.500 0.000
0.250 0.750 0.500
0.000 0.000 0.000
0.750 0.250 0.500


It is entry 2 that is the most stable of them.


Entry 1
Na2HgB2 | Alexandria via LeMat-Bulk | GGA-PBE | relaxed; density = 4.5 g/cm3; magnetic moment = 0.0 μB per formula unit
1.0
8.185 0.000 0.000
0.000 8.185 0.000
0.000 0.000 2.938
Na B Hg
4 4 2
direct
0.300 0.800 0.000
0.800 0.700 0.000
0.700 0.200 0.000
0.200 0.300 0.000
0.068 0.568 0.500
0.568 0.932 0.500
0.932 0.432 0.500
0.432 0.068 0.500
0.000 0.000 0.000
0.500 0.500 0.000


Entry 2
Na2HgB2 | Alexandria via LeMat-Bulk | GGA-PBE | relaxed; density = 5.4 g/cm3; magnetic moment = 0.0 μB per formula unit
1.0
-1.521 -0.112 2.424
2.296 -0.992 1.395
3.128 8.812 4.060
Na B Hg
2 2 1
direct
0.369 0.369 0.262
0.631 0.631 0.738
0.750 0.250 0.500
0.250 0.750 0.500
0.000 0.000 0.000


It is entry 2 that is the most stable of them.


Entry 1
NbHgB3 | Alexandria via LeMat-Bulk | GGA-PBE | relaxed; density = 7.2 g/cm3; magnetic moment = 0.0 μB per formula unit
1.0
4.224 0.000 0.000
0.000 4.224 0.000
0.000 0.000 4.224
Nb B Hg
1 3 1
direct
0.500 0.500 0.500
0.000 0.500 0.000
0.000 0.000 0.500
0.500 0.000 0.000
0.000 0.000 0.000


Entry 2
NbHgB3 | Alexandria via LeMat-Bulk | GGA-PBE | relaxed; density = 6.5 g/cm3; magnetic moment = 0.0 μB per formula unit
1.0
-3.479 2.564 0.577
-1.328 -2.541 3.286
2.268 2.446 2.808
Nb B Hg
1 3 1
direct
0.000 0.000 0.000
0.000 0.500 0.000
0.000 0.000 0.500
0.500 0.000 0.000
0.500 0.500 0.500


It is entry 2 that is the most stable of them.


Entry 1
Ni2HgB | Alexandria via LeMat-Bulk | GGA-PBE | relaxed; density = 8.7 g/cm3; magnetic moment = 0.0 μB per formula unit
1.0
4.542 0.000 0.000
0.000 4.542 0.000
2.271 2.271 6.091
Ni B Hg
4 2 2
direct
0.445 0.125 0.250
0.305 0.625 0.250
0.375 0.555 0.750
0.875 0.695 0.750
0.500 0.500 0.000
0.250 0.750 0.500
0.000 0.000 0.000
0.750 0.250 0.500


Entry 2
Ni2HgB | Alexandria via LeMat-Bulk | GGA-PBE | relaxed; density = 11.1 g/cm3; magnetic moment = 0.0 μB per formula unit
1.0
3.061 1.295 2.433
-0.801 1.189 3.861
1.235 -2.323 3.169
Ni B Hg
2 1 1
direct
0.250 0.250 0.250
0.750 0.750 0.750
0.000 0.000 0.000
0.500 0.500 0.500


It is entry 1 that is the most stable of them.